Record 1
The following is a meta-GGA SCAN calculation of Sr3CaI at its PBEsol-relaxed geometry, from Alexandria.

Cell: 6.3069 6.3069 6.3069 Å, 90.00 90.00 90.00°
Element x y z (fractional)
I (0.0000, 0.0000, 0.0000)
Sr (0.0000, 0.5000, 0.0000)
Sr (0.0000, 0.0000, 0.5000)
Sr (0.5000, 0.0000, 0.0000)
Ca (0.5000, 0.5000, 0.5000)

As for the space group: No. 221. The uncorrected formation energy comes out at -0.28 eV per atom.

Record 2
The following is a meta-GGA SCAN calculation of SrCaI2 at its PBEsol-relaxed geometry, from Alexandria.

Cell: 7.2893 7.2893 8.9392 Å, 114.06 114.06 90.00°
Element x y z (fractional)
I (0.3978, 0.8750, 0.2500)
I (0.8522, 0.3750, 0.2500)
I (0.1250, 0.1478, 0.7500)
I (0.6250, 0.6022, 0.7500)
Sr (0.2500, 0.7500, 0.5000)
Sr (0.0000, 0.0000, 0.0000)
Ca (0.7500, 0.2500, 0.5000)
Ca (0.5000, 0.5000, 0.0000)

As for the space group: No. 122. The uncorrected formation energy comes out at -0.95 eV per atom.

Record 3
The following is a meta-GGA SCAN calculation of SrCaI4 at its PBEsol-relaxed geometry, from Alexandria.

Cell: 10.1522 10.1522 12.8403 Å, 71.55 71.55 84.20°
Element x y z (fractional)
Sr (0.6954, 0.6954, 0.6518)
Sr (0.6953, 0.3047, 0.0000)
Sr (0.3047, 0.6953, 0.0000)
Sr (0.3046, 0.3046, 0.3482)
Ca (0.6803, 0.6803, 0.1595)
Ca (0.6808, 0.3192, 0.5000)
Ca (0.3192, 0.6808, 0.5000)
Ca (0.3197, 0.3197, 0.8405)
I (0.0144, 0.6518, 0.5815)
I (0.6518, 0.0144, 0.5815)
I (0.3496, 0.0145, 0.9075)
I (0.0145, 0.3496, 0.9075)
I (0.6533, 0.6533, 0.9273)
I (0.6515, 0.6515, 0.4198)
I (0.3480, 0.6532, 0.7457)
I (0.6532, 0.3480, 0.7457)
I (0.6520, 0.3468, 0.2543)
I (0.3468, 0.6520, 0.2543)
I (0.3485, 0.3485, 0.5802)
I (0.3467, 0.3467, 0.0727)
I (0.6504, 0.9855, 0.0925)
I (0.9855, 0.6504, 0.0925)
I (0.3482, 0.9856, 0.4185)
I (0.9856, 0.3482, 0.4185)

As for the space group: No. 12. The uncorrected formation energy comes out at -1.72 eV per atom.

Record 4
The following is a meta-GGA SCAN calculation of SrCaI4 at its PBEsol-relaxed geometry, from Alexandria.

Cell: 7.7920 7.7920 9.6789 Å, 113.74 113.74 90.00°
Element x y z (fractional)
I (0.6142, 0.1441, 0.7961)
I (0.3480, 0.3858, 0.2039)
I (0.8559, 0.8181, 0.2039)
I (0.0681, 0.0980, 0.7039)
I (0.1819, 0.6520, 0.7961)
I (0.3941, 0.9319, 0.2961)
I (0.9020, 0.3642, 0.2961)
I (0.6358, 0.6059, 0.7039)
Sr (0.2500, 0.7500, 0.5000)
Sr (0.0000, 0.0000, 0.0000)
Ca (0.5000, 0.5000, 0.0000)
Ca (0.7500, 0.2500, 0.5000)

As for the space group: No. 88. The uncorrected formation energy comes out at -1.73 eV per atom.

Record 5
The following is a meta-GGA SCAN calculation of SrCaI4 at its PBEsol-relaxed geometry, from Alexandria.

Cell: 4.5731 7.0460 7.9606 Å, 89.95 90.00 90.00°
Element x y z (fractional)
I (0.0000, 0.7444, 0.3199)
I (0.5000, 0.7520, 0.8451)
I (0.5000, 0.2480, 0.1549)
I (0.0000, 0.2556, 0.6801)
Sr (0.5000, 0.0000, 0.5000)
Ca (0.0000, 0.0000, 0.0000)

As for the space group: No. 10. The uncorrected formation energy comes out at -1.82 eV per atom.

Record 6
The following is a meta-GGA SCAN calculation of SrCaI4 at its PBEsol-relaxed geometry, from Alexandria.

Cell: 8.8511 8.8511 8.8511 Å, 73.32 73.46 115.36°
Element x y z (fractional)
I (0.4567, 0.7447, 0.7986)
I (0.9965, 0.1882, 0.3083)
I (0.4965, 0.3048, 0.6917)
I (0.0433, 0.7447, 0.2120)
I (0.9567, 0.2553, 0.7880)
I (0.0035, 0.8118, 0.6917)
I (0.5035, 0.6952, 0.3083)
I (0.5433, 0.2553, 0.2014)
Sr (0.5000, 0.0000, 0.0000)
Sr (0.0000, 0.5000, 0.0000)
Ca (0.2500, 0.2536, 0.4964)
Ca (0.7500, 0.7464, 0.5036)

As for the space group: No. 74. The uncorrected formation energy comes out at -1.79 eV per atom.

Record 7
The following is a meta-GGA SCAN calculation of Sr2CaI6 at its PBEsol-relaxed geometry, from Alexandria.

Cell: 7.8615 7.8615 23.5077 Å, 90.00 90.00 90.00°
Element x y z (fractional)
Sr (0.0000, 0.5000, 0.1653)
Sr (0.0000, 0.0000, 0.3340)
Sr (0.0000, 0.0000, 0.6660)
Sr (0.0000, 0.5000, 0.8347)
Sr (0.5000, 0.5000, 0.3340)
Sr (0.5000, 0.0000, 0.1653)
Sr (0.5000, 0.0000, 0.8347)
Sr (0.5000, 0.5000, 0.6660)
Ca (0.0000, 0.0000, 0.0000)
Ca (0.0000, 0.5000, 0.5000)
Ca (0.5000, 0.0000, 0.5000)
Ca (0.5000, 0.5000, 0.0000)
I (0.2286, 0.7228, 0.5823)
I (0.2121, 0.7858, 0.0833)
I (0.2142, 0.2121, 0.9167)
I (0.2228, 0.7286, 0.4177)
I (0.2345, 0.2463, 0.2495)
I (0.2537, 0.2655, 0.7505)
I (0.2463, 0.7655, 0.7505)
I (0.2655, 0.7463, 0.2495)
I (0.2858, 0.7121, 0.9167)
I (0.2772, 0.2286, 0.4177)
I (0.2879, 0.2858, 0.0833)
I (0.2714, 0.2228, 0.5823)
I (0.7286, 0.7772, 0.5823)
I (0.7121, 0.7142, 0.0833)
I (0.7142, 0.2879, 0.9167)
I (0.7228, 0.7714, 0.4177)
I (0.7345, 0.2537, 0.2495)
I (0.7537, 0.2345, 0.7505)
I (0.7463, 0.7345, 0.7505)
I (0.7655, 0.7537, 0.2495)
I (0.7772, 0.2714, 0.4177)
I (0.7858, 0.7879, 0.9167)
I (0.7879, 0.2142, 0.0833)
I (0.7714, 0.2772, 0.5823)

As for the space group: No. 117. The uncorrected formation energy comes out at -1.75 eV per atom. The calculation puts the energy above the lowest structure with this stoichiometry at 0.0679 eV per atom.

Record 8
The following is a meta-GGA SCAN calculation of SrCaTeI2 at its PBEsol-relaxed geometry, from Alexandria.

Cell: 5.9891 5.9891 6.3058 Å, 90.00 90.00 90.00°
Element x y z (fractional)
I (0.0000, 0.5000, 0.0000)
I (0.5000, 0.0000, 0.0000)
Sr (0.0000, 0.0000, 0.0000)
Ca (0.5000, 0.5000, 0.5000)
Te (0.0000, 0.0000, 0.5000)

As for the space group: No. 123. The uncorrected formation energy comes out at -1.10 eV per atom.

Record 9
The following is a meta-GGA SCAN calculation of SrCa2TlI at its PBEsol-relaxed geometry, from Alexandria.

Cell: 5.9375 5.9375 6.5195 Å, 90.00 90.00 90.00°
Element x y z (fractional)
I (0.0000, 0.0000, 0.5000)
Sr (0.5000, 0.5000, 0.5000)
Tl (0.0000, 0.0000, 0.0000)
Ca (0.0000, 0.5000, 0.0000)
Ca (0.5000, 0.0000, 0.0000)

As for the space group: No. 123. The uncorrected formation energy comes out at -0.17 eV per atom.

Record 10
The following is a meta-GGA SCAN calculation of SrCaY2I at its PBEsol-relaxed geometry, from Alexandria.

Cell: 5.7136 5.7136 6.0823 Å, 90.00 90.00 90.00°
Element x y z (fractional)
I (0.0000, 0.0000, 0.0000)
Y (0.0000, 0.5000, 0.0000)
Y (0.5000, 0.0000, 0.0000)
Ca (0.5000, 0.5000, 0.5000)
Sr (0.0000, 0.0000, 0.5000)

As for the space group: No. 123. The uncorrected formation energy comes out at 0.00 eV per atom.

Record 11
The following is a meta-GGA SCAN calculation of CaTcI3 at its PBEsol-relaxed geometry, from Alexandria.

Cell: 5.9334 5.9334 5.9334 Å, 90.00 90.00 90.00°
Element x y z (fractional)
I (0.0000, 0.5000, 0.0000)
I (0.0000, 0.0000, 0.5000)
I (0.5000, 0.0000, 0.0000)
Ca (0.0000, 0.0000, 0.0000)
Tc (0.5000, 0.5000, 0.5000)

As for the space group: No. 221. The uncorrected formation energy comes out at -0.09 eV per atom.

Record 12
The following is a meta-GGA SCAN calculation of CaTcTeI2 at its PBEsol-relaxed geometry, from Alexandria.

Cell: 5.0619 5.4909 5.4909 Å, 90.00 90.00 90.00°
Element x y z (fractional)
I (0.0000, 0.0000, 0.5000)
I (0.0000, 0.5000, 0.0000)
Ca (0.5000, 0.5000, 0.5000)
Te (0.5000, 0.0000, 0.0000)
Tc (0.0000, 0.0000, 0.0000)

As for the space group: No. 123. The uncorrected formation energy comes out at -0.13 eV per atom.

Record 13
The following is a meta-GGA SCAN calculation of CaTlI3 at its PBEsol-relaxed geometry, from Alexandria.

Cell: 4.4760 7.7094 11.4352 Å, 90.00 90.00 106.88°
Element x y z (fractional)
I (0.8598, 0.7197, 0.9465)
I (0.1402, 0.2803, 0.4465)
I (0.8598, 0.7197, 0.5535)
I (0.1402, 0.2803, 0.0535)
I (0.4258, 0.8516, 0.2500)
I (0.5742, 0.1484, 0.7500)
Tl (0.7543, 0.5085, 0.2500)
Tl (0.2457, 0.4915, 0.7500)
Ca (0.5000, 0.0000, 0.0000)
Ca (0.5000, 0.0000, 0.5000)

As for the space group: No. 63. The uncorrected formation energy comes out at -1.33 eV per atom.

Record 14
The following is a meta-GGA SCAN calculation of Ca3WI at its PBEsol-relaxed geometry, from Alexandria.

Cell: 5.4798 5.4798 5.4798 Å, 90.00 90.00 90.00°
Element x y z (fractional)
I (0.5000, 0.5000, 0.5000)
Ca (0.0000, 0.5000, 0.0000)
Ca (0.0000, 0.0000, 0.5000)
Ca (0.5000, 0.0000, 0.0000)
W (0.0000, 0.0000, 0.0000)

As for the space group: No. 221. The uncorrected formation energy comes out at 0.71 eV per atom.

Record 15
The following is a meta-GGA SCAN calculation of CaZn3I at its PBEsol-relaxed geometry, from Alexandria.

Cell: 5.7196 5.7196 5.7196 Å, 90.00 90.00 90.00°
Element x y z (fractional)
I (0.5000, 0.5000, 0.5000)
Zn (0.0000, 0.5000, 0.0000)
Zn (0.0000, 0.0000, 0.5000)
Zn (0.5000, 0.0000, 0.0000)
Ca (0.0000, 0.0000, 0.0000)

As for the space group: No. 221. The uncorrected formation energy comes out at 0.50 eV per atom.

Record 16
The following is a meta-GGA SCAN calculation of Ca2In at its PBEsol-relaxed geometry, from Alexandria.

Cell: 5.4867 5.4891 6.9707 Å, 90.00 90.00 119.99°
Element x y z (fractional)
Ca (0.3334, 0.6667, 0.2500)
Ca (0.6666, 0.3333, 0.7500)
Ca (0.0000, 0.0000, 0.0000)
Ca (0.0000, 0.0000, 0.5000)
In (0.3333, 0.6666, 0.7500)
In (0.6667, 0.3334, 0.2500)

As for the space group: No. 194. As for the energy of formation from the pure elements: -0.448 eV per atom.

Record 17
The following is a meta-GGA SCAN calculation of Ca2In at its PBEsol-relaxed geometry, from Alexandria.

Cell: 5.2995 7.0700 9.8238 Å, 90.00 90.00 90.00°
Element x y z (fractional)
Ca (0.7500, 0.4650, 0.2041)
Ca (0.2500, 0.0350, 0.7041)
Ca (0.2500, 0.5350, 0.7959)
Ca (0.7500, 0.9650, 0.2959)
Ca (0.7500, 0.3244, 0.5668)
Ca (0.2500, 0.1756, 0.0668)
Ca (0.2500, 0.6756, 0.4332)
Ca (0.7500, 0.8244, 0.9332)
In (0.7500, 0.2797, 0.8900)
In (0.2500, 0.2203, 0.3900)
In (0.2500, 0.7203, 0.1100)
In (0.7500, 0.7797, 0.6100)

As for the space group: No. 62. As for the energy of formation from the pure elements: -0.473 eV per atom.

Record 18
The following is a meta-GGA SCAN calculation of CaIn5 at its PBEsol-relaxed geometry, from Alexandria.

Cell: 5.0882 6.1599 6.4773 Å, 121.73 90.00 114.39°
Element x y z (fractional)
Ca (0.0284, 0.0569, 0.0562)
In (0.6947, 0.3894, 0.4734)
In (0.3611, 0.7221, 0.6388)
In (0.3621, 0.7241, 0.1444)
In (0.0267, 0.0534, 0.5545)
In (0.6937, 0.3874, 0.9661)

As for the space group: No. 8. The calculation puts the energy above the lowest structure with this stoichiometry at 0.0000 eV per atom. As for the energy of formation from the pure elements: -0.261 eV per atom.

Record 19
The following is a meta-GGA SCAN calculation of Ca2In3 at its PBEsol-relaxed geometry, from Alexandria.

Cell: 5.1612 5.1612 6.4401 Å, 90.00 90.00 120.00°
Element x y z (fractional)
Ca (0.3333, 0.6667, 0.8351)
Ca (0.6667, 0.3333, 0.1649)
In (0.0000, 0.0000, 0.0000)
In (0.3333, 0.6667, 0.3524)
In (0.6667, 0.3333, 0.6476)

As for the space group: No. 164. As for the energy of formation from the pure elements: -0.302 eV per atom.

Record 20
The following is a meta-GGA SCAN calculation of CaIn5 at its PBEsol-relaxed geometry, from Alexandria.

Cell: 4.5421 4.8548 7.2294 Å, 70.38 90.00 90.00°
Element x y z (fractional)
Ca (0.0000, 0.5000, 0.0000)
In (0.5000, 0.3292, 0.3415)
In (0.0000, 0.1715, 0.6571)
In (0.5000, 0.0000, 0.0000)
In (0.0000, 0.8285, 0.3429)
In (0.5000, 0.6708, 0.6585)

As for the space group: No. 65. The calculation puts the energy above the lowest structure with this stoichiometry at 0.0190 eV per atom. As for the energy of formation from the pure elements: -0.242 eV per atom.

no.,calculated total energy (eV per atom)
1,-22.93
2,-27.31
3,-31.54
4,-31.55
5,-31.64
6,-31.61
7,-32.27
8,-29.63
9,-30.31
10,-24.87
11,-31.08
12,-31.22
13,-39.78
14,-26.37
15,-16.89
16,-18.02
17,-18.04
18,-29.69
19,-24.20
20,-29.67